Here is crystalline Li2ScMo at its relaxed geometry from Alexandria via LeMat-Bulk. Energies are from GGA-PBE.

Properties
ρ, Mg/m³: 3.64
Energy relative to the elements, eV/atom: 0.336
Total energy, eV/atom: -4.911

Unit cell a=2.702 b=5.223 c=5.018 alpha=90.00 beta=93.81 gamma=90.00
Space group P2/m (No. 10)
Symmetry-distinct sites (fractional):
Li (0.224, 0.000, 0.226) (multiplicity 2)
Sc (0.000, 0.500, 0.500) (multiplicity 1)
Mo (0.500, 0.500, 0.000) (multiplicity 1)